Entry 1:
P2Cl: relaxed, GGA-PBEsol.

Unit cell a=5.4369 b=7.3700 c=4.4895 alpha=90.00 beta=90.00 gamma=90.00
Element x y z (fractional)
1 P 0.0914 0.1157 0.0000
2 P 0.4086 0.6157 0.5000
3 P 0.5914 0.3843 0.5000
4 P 0.9086 0.8843 0.0000
5 Cl 0.0000 0.5000 0.5000
6 Cl 0.5000 0.0000 0.0000

Summary:
As for the polymorph energy (0 for the lowest one): 0 kJ/mol of formula units. The calculation puts the density of states at the Fermi level at 2.261 states/eV/cell. Its space-group type is Pnnm, No. 58. The uncorrected formation energy is 0.46 eV per atom. The value obtained for the spin magnetization is 0.000 μB per atom.

=====

Entry 2:
PCl3: relaxed, GGA-PBEsol.

Unit cell a=3.6429 b=3.6429 c=21.0354 alpha=90.00 beta=90.00 gamma=120.00
Element x y z (fractional)
1 P 0.0000 0.0000 0.0000
2 P 0.3333 0.6667 0.6667
3 P 0.6667 0.3333 0.3333
4 Cl 0.0000 0.0000 0.2688
5 Cl 0.0000 0.0000 0.5000
6 Cl 0.0000 0.0000 0.7312
7 Cl 0.3333 0.6667 0.1667
8 Cl 0.3333 0.6667 0.3979
9 Cl 0.3333 0.6667 0.9355
10 Cl 0.6667 0.3333 0.0645
11 Cl 0.6667 0.3333 0.6021
12 Cl 0.6667 0.3333 0.8333

Summary:
The calculation puts the density of states at the Fermi level at 5.615 states/eV/cell. Its space-group type is R-3m, No. 166. The uncorrected formation energy is 0.13 eV per atom. The value obtained for the spin magnetization is 0.000 μB per atom.

=====

Entry 3:
PCl3: relaxed, GGA-PBEsol.

Unit cell a=3.1186 b=5.8473 c=9.6121 alpha=90.00 beta=90.00 gamma=90.00
Element x y z (fractional)
1 P 0.0000 0.0000 0.0000
2 P 0.5000 0.5000 0.0000
3 Cl 0.0000 0.0000 0.5000
4 Cl 0.0000 0.5000 0.1831
5 Cl 0.0000 0.5000 0.8169
6 Cl 0.5000 0.0000 0.1831
7 Cl 0.5000 0.0000 0.8169
8 Cl 0.5000 0.5000 0.5000

Summary:
The calculation puts the density of states at the Fermi level at 8.195 states/eV/cell. Its space-group type is Cmmm, No. 65. The uncorrected formation energy is 0.19 eV per atom. The value obtained for the spin magnetization is 0.001 μB per atom.

=====

Entry 4:
PCl: relaxed, GGA-PBEsol.

Unit cell a=3.2790 b=4.1844 c=12.0874 alpha=90.00 beta=90.00 gamma=90.00
Element x y z (fractional)
1 P 0.0000 0.2500 0.1850
2 P 0.0000 0.7500 0.8150
3 P 0.5000 0.2500 0.3150
4 P 0.5000 0.7500 0.6850
5 Cl 0.0000 0.2500 0.6251
6 Cl 0.0000 0.7500 0.3749
7 Cl 0.5000 0.2500 0.8749
8 Cl 0.5000 0.7500 0.1251

Summary:
As for the polymorph energy (0 for the lowest one): 108 kJ/mol of formula units. The calculation puts the density of states at the Fermi level at 3.095 states/eV/cell. Its space-group type is Imma, No. 74. The uncorrected formation energy is 0.19 eV per atom. The value obtained for the spin magnetization is 0.000 μB per atom.